Entry from the Alexandria database: crystalline LaPr2I6 at its relaxed geometry (PBE).

The spin magnetization comes out at 1.54 Bohr magnetons per cell. The calculation puts the raw formation energy at -11.1 eV per formula unit.

The structure belongs to space group P4_2/mnm (No. 136); the cell edges are 8.1149, 8.1149 and 12.2407 Å and the angles 90.00°, 90.00° and 90.00°. The asymmetric unit holds La at (0.0000, 0.0000, 0.0000), Pr at (0.0000, 0.0000, 0.3402), I at (0.2159, 0.2159, 0.1685) and I at (0.2185, 0.2185, 0.5000).



Entry from the Alexandria database: crystalline Th2ZrPd at its relaxed geometry (PBE).

For the energy of formation, the calculation gives -253 meV/atom. The spin magnetization comes out at 0.00 Bohr magnetons per cell.

The structure belongs to space group P4/mmm (No. 123); the cell edges are 3.5279, 3.5279 and 8.4714 Å and the angles 90.00°, 90.00° and 90.00°. The asymmetric unit holds Th at (0.0000, 0.0000, 0.2242), Zr at (0.5000, 0.5000, 0.5000) and Pd at (0.5000, 0.5000, 0.0000).



Entry from the Alexandria database: crystalline Sr4CaMg at its relaxed geometry (PBE).

For the energy of formation, the calculation gives -7 meV/atom. The spin magnetization comes out at 0.00 Bohr magnetons per cell.

The structure belongs to space group P4/mmm (No. 123); the cell edges are 4.2290, 4.2290 and 15.6252 Å and the angles 90.00°, 90.00° and 90.00°. The asymmetric unit holds Sr at (0.0000, 0.0000, 0.1306), Sr at (0.5000, 0.5000, 0.3251), Ca at (0.0000, 0.0000, 0.5000) and Mg at (0.5000, 0.5000, 0.0000).



Entry from the Alexandria database: crystalline La2TmGa at its relaxed geometry (PBE).

For the energy of formation, the calculation gives -221 meV/atom. The spin magnetization comes out at 0.00 Bohr magnetons per cell.

The structure belongs to space group P4/mmm (No. 123); the cell edges are 3.7858, 3.7858 and 8.5658 Å and the angles 90.00°, 90.00° and 90.00°. The asymmetric unit holds La at (0.0000, 0.0000, 0.2114), Tm at (0.5000, 0.5000, 0.5000) and Ga at (0.5000, 0.5000, 0.0000).



Entry from the Alexandria database: crystalline CsW3Br7 at its relaxed geometry (PBE).

The spin magnetization comes out at 0.00 Bohr magnetons per cell. The calculation puts the raw formation energy at -7.9 eV per formula unit.

The structure belongs to space group P31c (No. 159); the cell edges are 10.3599, 10.3599 and 16.3437 Å and the angles 90.00°, 90.00° and 120.00°. The asymmetric unit holds Cs at (0.0000, 0.0000, 0.0000), Cs at (0.3333, 0.6667, 0.2414), W at (0.1837, 0.5200, 0.6836), W at (0.1850, 0.6665, 0.8156), Br at (0.0322, 0.6891, 0.4031), Br at (0.0350, 0.3485, 0.0960), Br at (0.0386, 0.3688, 0.8181), Br at (0.0416, 0.6757, 0.6811), Br at (0.3333, 0.6667, 0.5515) and Br at (0.3333, 0.6667, 0.9476).



Entry from the Alexandria database: crystalline ScCrMo2 at its relaxed geometry (PBE).

For the energy of formation, the calculation gives 237 meV/atom. The spin magnetization comes out at 0.20 Bohr magnetons per cell.

The structure belongs to space group C2/m (No. 12); the cell edges are 5.4275, 8.9307 and 2.7558 Å and the angles 90.00°, 109.25° and 90.00°. The asymmetric unit holds Sc at (0.0000, 0.0000, 0.0000), Cr at (0.0000, 0.5000, 0.0000) and Mo at (0.2500, 0.2500, 0.5000).



Entry from the Alexandria database: crystalline Ba2ZnCu at its relaxed geometry (PBE).

For the energy of formation, the calculation gives 59 meV/atom. The spin magnetization comes out at 0.00 Bohr magnetons per cell.

The structure belongs to space group P4mm (No. 99); the cell edges are 3.8780, 3.8780 and 9.0516 Å and the angles 90.00°, 90.00° and 90.00°. The asymmetric unit holds Ba at (0.0000, 0.0000, 0.0000), Ba at (0.5000, 0.5000, 0.4241), Zn at (0.5000, 0.5000, 0.7741) and Cu at (0.0000, 0.0000, 0.6511).



Entry from the Alexandria database: crystalline Tb4Pm2Sm at its relaxed geometry (PBE).

For the energy of formation, the calculation gives 44 meV/atom. The spin magnetization comes out at 0.00 Bohr magnetons per cell.

The structure belongs to space group C2/m (No. 12); the cell edges are 16.9083, 3.5589 and 8.8439 Å and the angles 90.00°, 119.70° and 90.00°. The asymmetric unit holds Tb at (0.1448, 0.0000, 0.3436), Tb at (0.2059, 0.0000, 0.7930), Pm at (0.0694, 0.5000, 0.9282) and Sm at (0.0000, 0.5000, 0.5000).



Entry from the Alexandria database: crystalline LiOs2Au at its relaxed geometry (PBE).

For the energy of formation, the calculation gives 478 meV/atom. The spin magnetization comes out at 0.00 Bohr magnetons per cell.

The structure belongs to space group R-3m (No. 166, hexagonal axes); the cell edges are 2.7043, 2.7043 and 28.7850 Å and the angles 90.00°, 90.00° and 120.00°. The asymmetric unit holds Li at (0.0000, 0.0000, 0.0000), Os at (0.0000, 0.0000, 0.2536) and Au at (0.0000, 0.0000, 0.5000).



Entry from the Alexandria database: crystalline TlCuHgI2 at its relaxed geometry (PBE).

The spin magnetization comes out at 0.00 Bohr magnetons per cell. The calculation puts the raw formation energy at -1.0 eV per formula unit.

The structure belongs to space group P4/mmm (No. 123); the cell edges are 5.6927, 5.6927 and 5.2219 Å and the angles 90.00°, 90.00° and 90.00°. The asymmetric unit holds Tl at (0.0000, 0.0000, 0.0000), Cu at (0.5000, 0.5000, 0.5000), Hg at (0.5000, 0.5000, 0.0000) and I at (0.0000, 0.5000, 0.5000).



Entry from the Alexandria database: crystalline YNi2Cl2 at its relaxed geometry (PBE).

The spin magnetization comes out at 0.00 Bohr magnetons per cell. The calculation puts the raw formation energy at -1.6 eV per formula unit.

The structure belongs to space group P4/mbm (No. 127); the cell edges are 6.7619, 6.7619 and 4.1983 Å and the angles 90.00°, 90.00° and 90.00°. The asymmetric unit holds Y at (0.0000, 0.0000, 0.0000), Ni at (0.1257, 0.3743, 0.0000) and Cl at (0.1941, 0.3059, 0.5000).



Entry from the Alexandria database: crystalline CaTcNi3 at its relaxed geometry (PBE).

For the energy of formation, the calculation gives 606 meV/atom. The spin magnetization comes out at 0.00 Bohr magnetons per cell.

The structure belongs to space group Pm-3m (No. 221); the cell edges are 4.5486, 4.5486 and 4.5486 Å and the angles 90.00°, 90.00° and 90.00°. The asymmetric unit holds Ca at (0.0000, 0.0000, 0.0000), Tc at (0.5000, 0.5000, 0.5000) and Ni at (0.0000, 0.5000, 0.5000).